# 1
Compound: TmAlInTe3
Source: OQMD via LeMat-Bulk
Functional: PBE
Structure: optimized geometry

Calculated values
The relative energy among the computed polymorphs comes out at 0 meV per atom. For the total magnetization, the calculation gives 0.001 μB per atom. Its calculated density is 6.1 g cm⁻³.

CIF file:
```
data_TmAlInTe3
_chemical_formula_sum 'Tm4 Al4 In4 Te12'
_cell_length_a 4.415
_cell_length_b 15.036
_cell_length_c 11.325
_cell_angle_alpha 90.00
_cell_angle_beta 90.00
_cell_angle_gamma 90.00
_symmetry_space_group_name_H-M 'C m c m'
_symmetry_Int_Tables_number 63
_symmetry_space_group_name_Hall '-C 2c 2'
loop_
_atom_site_label
_atom_site_type_symbol
_atom_site_fract_x
_atom_site_fract_y
_atom_site_fract_z
Tm1 Tm 0.000 0.000 0.000
Al1 Al 0.000 0.467 0.250
In1 In 0.000 0.232 0.750
Te1 Te 0.000 0.080 0.250
Te2 Te 0.000 0.364 0.056
```


# 2
Compound: TmAlIn
Source: OQMD via LeMat-Bulk
Functional: PBE
Structure: optimized geometry

Calculated values
For the calculated total energy, the calculation gives -45.52 eV for the cell shown. For the total magnetization, the calculation gives 0.000 μB per atom. Its calculated density is 6.9 g cm⁻³.

CIF file:
```
data_TmAlIn
_chemical_formula_sum 'Tm4 Al4 In4'
_cell_length_a 6.688
_cell_length_b 6.688
_cell_length_c 6.688
_cell_angle_alpha 90.00
_cell_angle_beta 90.00
_cell_angle_gamma 90.00
_symmetry_space_group_name_H-M 'F -4 3 m'
_symmetry_Int_Tables_number 216
_symmetry_space_group_name_Hall 'F -4 2 3'
loop_
_atom_site_label
_atom_site_type_symbol
_atom_site_fract_x
_atom_site_fract_y
_atom_site_fract_z
Tm1 Tm 0.000 0.000 0.000
Al1 Al 0.250 0.250 0.750
In1 In 0.000 0.000 0.500
```


# 3
Compound: TmAlIn
Source: OQMD via LeMat-Bulk
Functional: PBE
Structure: optimized geometry

Calculated values
For the calculated total energy, the calculation gives -42.25 eV for the cell shown. For the total magnetization, the calculation gives 0.000 μB per atom. Its calculated density is 6.2 g cm⁻³.

CIF file:
```
data_TmAlIn
_chemical_formula_sum 'Tm4 Al4 In4'
_cell_length_a 6.936
_cell_length_b 6.936
_cell_length_c 6.936
_cell_angle_alpha 90.00
_cell_angle_beta 90.00
_cell_angle_gamma 90.00
_symmetry_space_group_name_H-M 'F -4 3 m'
_symmetry_Int_Tables_number 216
_symmetry_space_group_name_Hall 'F -4 2 3'
loop_
_atom_site_label
_atom_site_type_symbol
_atom_site_fract_x
_atom_site_fract_y
_atom_site_fract_z
Tm1 Tm 0.000 0.000 0.000
Al1 Al 0.250 0.250 0.750
In1 In 0.250 0.250 0.250
```


# 4
Compound: AlInW
Source: OQMD via LeMat-Bulk
Functional: PBE
Structure: optimized geometry

Calculated values
The relative energy among the computed polymorphs comes out at 362 meV per atom. For the total magnetization, the calculation gives 0.579 μB per atom. Its calculated density is 8.4 g cm⁻³.

CIF file:
```
data_AlInW
_chemical_formula_sum 'Al4 In4 W4'
_cell_length_a 6.352
_cell_length_b 6.352
_cell_length_c 6.352
_cell_angle_alpha 90.00
_cell_angle_beta 90.00
_cell_angle_gamma 90.00
_symmetry_space_group_name_H-M 'F -4 3 m'
_symmetry_Int_Tables_number 216
_symmetry_space_group_name_Hall 'F -4 2 3'
loop_
_atom_site_label
_atom_site_type_symbol
_atom_site_fract_x
_atom_site_fract_y
_atom_site_fract_z
Al1 Al 0.000 0.000 0.000
In1 In 0.250 0.250 0.250
W1 W 0.000 0.000 0.500
```


# 5
Compound: AlInW
Source: OQMD via LeMat-Bulk
Functional: PBE
Structure: optimized geometry

Calculated values
The relative energy among the computed polymorphs comes out at 0 meV per atom. For the total magnetization, the calculation gives 0.586 μB per atom. Its calculated density is 8.3 g cm⁻³.

CIF file:
```
data_AlInW
_chemical_formula_sum 'Al4 In4 W4'
_cell_length_a 6.388
_cell_length_b 6.388
_cell_length_c 6.388
_cell_angle_alpha 90.00
_cell_angle_beta 90.00
_cell_angle_gamma 90.00
_symmetry_space_group_name_H-M 'F -4 3 m'
_symmetry_Int_Tables_number 216
_symmetry_space_group_name_Hall 'F -4 2 3'
loop_
_atom_site_label
_atom_site_type_symbol
_atom_site_fract_x
_atom_site_fract_y
_atom_site_fract_z
Al1 Al 0.000 0.000 0.000
In1 In 0.000 0.000 0.500
W1 W 0.250 0.250 0.250
```


# 6
Compound: Y2AlZn2In
Source: OQMD via LeMat-Bulk
Functional: PBE
Structure: optimized geometry

Calculated values
The relative energy among the computed polymorphs comes out at 81 meV per atom. For the total magnetization, the calculation gives 0.000 μB per atom. Its calculated density is 5.4 g cm⁻³.

CIF file:
```
data_Y2AlZn2In
_chemical_formula_sum 'Y8 Al4 Zn8 In4'
_cell_length_a 11.309
_cell_length_b 4.619
_cell_length_c 11.314
_cell_angle_alpha 90.00
_cell_angle_beta 109.46
_cell_angle_gamma 90.00
_symmetry_space_group_name_H-M 'P 1 m 1'
_symmetry_Int_Tables_number 6
loop_
_symmetry_equiv_pos_as_xyz
'x,y,z'
'x,-y,z'
loop_
_atom_site_label
_atom_site_type_symbol
_atom_site_fract_x
_atom_site_fract_y
_atom_site_fract_z
Y1 Y 0.000 0.000 0.000
Y2 Y 0.122 0.500 0.372
Y3 Y 0.244 0.000 0.744
Y4 Y 0.370 0.500 0.124
Y5 Y 0.492 0.000 0.496
Y6 Y 0.615 0.500 0.868
Y7 Y 0.745 0.000 0.243
Y8 Y 0.875 0.500 0.619
Al1 Al 0.246 0.000 0.247
Al2 Al 0.369 0.500 0.620
Al3 Al 0.494 0.000 0.995
Al4 Al 0.997 0.000 0.495
Zn1 Zn 0.001 0.000 0.252
Zn2 Zn 0.122 0.500 0.617
Zn3 Zn 0.252 0.000 0.000
Zn4 Zn 0.367 0.500 0.372
Zn5 Zn 0.490 0.000 0.745
Zn6 Zn 0.615 0.500 0.115
Zn7 Zn 0.750 0.000 0.495
Zn8 Zn 0.870 0.500 0.871
In1 In 0.122 0.500 0.872
In2 In 0.621 0.500 0.371
In3 In 0.745 0.000 0.746
In4 In 0.871 0.500 0.121
```